[1]
{"formula": "Fe2RePd", "functional": "PBE", "state": "optimized geometry", "lattice": [[-0.818, 2.814, 0.338], [-0.927, 0.067, -2.799], [-5.661, -1.865, 1.829]], "species": ["Pd", "Fe", "Fe", "Re"], "fractional_positions": [[0.500, 0.500, 0.000], [0.000, 0.000, 0.261], [0.000, 0.000, 0.739], [0.500, 0.500, 0.500]], "magmom_total_mub_per_fu": 5.18, "dos_at_fermi_per_ev_cell": 5.00, "delta_e_f_mev_per_atom": 149.5, "final_energy_ev_per_fu": -34.0}

[2]
{"formula": "CeSm2IrN4", "functional": "PBE", "state": "optimized geometry", "lattice": [[3.417, 0.000, 0.000], [-1.709, 5.934, 0.000], [0.000, 0.000, 11.917]], "species": ["Sm", "Sm", "Sm", "Sm", "N", "N", "N", "N", "N", "N", "N", "N", "Ir", "Ir", "Ce", "Ce"], "fractional_positions": [[0.630, 0.260, 0.452], [0.370, 0.740, 0.952], [0.630, 0.260, 0.048], [0.370, 0.740, 0.548], [0.281, 0.562, 0.136], [0.000, 0.000, 0.000], [0.546, 0.091, 0.250], [0.000, 0.000, 0.500], [0.719, 0.438, 0.636], [0.719, 0.438, 0.864], [0.454, 0.909, 0.750], [0.281, 0.562, 0.364], [0.149, 0.299, 0.250], [0.851, 0.701, 0.750], [0.112, 0.225, 0.750], [0.888, 0.775, 0.250]], "magmom_total_mub_per_fu": 0.00, "dos_at_fermi_per_ev_cell": 5.53, "final_energy_ev_per_fu": -64.8, "e_form_raw_ev_per_atom": -0.909}

[3]
{"formula": "YBe3Fe", "functional": "PBE", "state": "optimized geometry", "lattice": [[-2.891, -2.230, -1.840], [2.890, -2.194, -1.884], [0.040, -2.633, 3.128]], "species": ["Fe", "Be", "Be", "Be", "Y"], "fractional_positions": [[0.000, 0.000, 0.000], [0.000, 0.000, 0.500], [0.000, 0.500, 0.000], [0.500, 0.000, 0.000], [0.500, 0.500, 0.500]], "magmom_total_mub_per_fu": 0.00, "dos_at_fermi_per_ev_cell": 2.75, "delta_e_f_mev_per_atom": 5.1, "relative_energy_kcal_per_mol_atoms": 0.000, "final_energy_ev_per_fu": -26.1}

[4]
{"formula": "RbIn2Pb3", "functional": "PBE", "state": "optimized geometry", "lattice": [[6.152, 0.000, 0.000], [0.000, 8.594, 0.246], [0.000, -1.485, 8.468]], "species": ["Pb", "Pb", "Pb", "Pb", "Pb", "Pb", "In", "In", "In", "In", "Rb", "Rb"], "fractional_positions": [[0.750, 0.062, 0.062], [0.250, 0.549, 0.929], [0.750, 0.451, 0.071], [0.250, 0.929, 0.549], [0.750, 0.071, 0.451], [0.250, 0.938, 0.938], [0.000, 0.233, 0.767], [0.500, 0.233, 0.767], [0.500, 0.767, 0.233], [0.000, 0.767, 0.233], [0.250, 0.319, 0.319], [0.750, 0.681, 0.681]], "magmom_total_mub_per_fu": 0.00, "dos_at_fermi_per_ev_cell": 6.17, "delta_e_f_mev_per_atom": -35.8, "relative_energy_kcal_per_mol_atoms": 0.000, "final_energy_ev_per_fu": -17.8}

[5]
{"formula": "Pm3ZnSi2Pt9", "functional": "PBE", "state": "optimized geometry", "lattice": [[5.733, 0.000, 0.000], [-2.866, 4.965, 0.000], [0.000, 0.000, 10.710]], "species": ["Pt", "Pt", "Pt", "Pt", "Pt", "Pt", "Pt", "Pt", "Pt", "Pm", "Pm", "Pm", "Si", "Si", "Zn"], "fractional_positions": [[0.162, 0.838, 0.315], [0.838, 0.675, 0.685], [0.500, 0.000, 0.000], [0.838, 0.162, 0.685], [0.500, 0.500, 0.000], [0.675, 0.838, 0.315], [0.162, 0.325, 0.315], [0.000, 0.500, 0.000], [0.325, 0.162, 0.685], [0.667, 0.333, 0.412], [0.333, 0.667, 0.588], [0.000, 0.000, 0.000], [0.333, 0.667, 0.163], [0.667, 0.333, 0.837], [0.000, 0.000, 0.500]], "magmom_total_mub_per_fu": 0.00, "dos_at_fermi_per_ev_cell": 5.19, "final_energy_ev_per_fu": -93.0, "e_form_raw_ev_per_atom": -0.820}

[6]
{"formula": "LaHo2NpO8", "functional": "PBE", "state": "optimized geometry", "lattice": [[-0.038, 3.760, 1.175], [-0.298, -1.975, 5.034], [7.512, -0.055, 0.423]], "species": ["O", "O", "O", "O", "O", "O", "O", "O", "Np", "La", "Ho", "Ho"], "fractional_positions": [[0.028, 0.758, 0.785], [0.507, 0.263, 0.500], [0.493, 0.737, 0.500], [0.544, 0.775, 0.000], [0.028, 0.758, 0.215], [0.972, 0.242, 0.215], [0.456, 0.225, 0.000], [0.972, 0.242, 0.785], [0.000, 0.000, 0.000], [0.000, 0.000, 0.500], [0.500, 0.500, 0.744], [0.500, 0.500, 0.256]], "magmom_total_mub_per_fu": 0.00, "dos_at_fermi_per_ev_cell": 1.17, "final_energy_ev_per_fu": -105.0, "e_form_raw_ev_per_atom": -3.193}

[7]
{"formula": "YBeAgW2", "functional": "PBE", "state": "optimized geometry", "lattice": [[-1.372, 4.129, -0.582], [0.202, -0.577, -4.570], [-4.166, -1.385, -0.009]], "species": ["Be", "Y", "W", "W", "Ag"], "fractional_positions": [[0.000, 0.000, 0.000], [0.500, 0.500, 0.500], [0.500, 0.000, 0.000], [0.000, 0.000, 0.500], [0.000, 0.500, 0.000]], "magmom_total_mub_per_fu": 0.00, "dos_at_fermi_per_ev_cell": 6.92, "delta_e_f_mev_per_atom": 722.7, "final_energy_ev_per_fu": -35.3}

[8]
{"formula": "KOsSe2N", "functional": "PBE", "state": "optimized geometry", "lattice": [[-3.265, 4.073, -1.028], [-3.113, -3.220, -2.871], [-1.973, -0.812, 3.049]], "species": ["Se", "Se", "Os", "N", "K"], "fractional_positions": [[0.500, 0.000, 0.000], [0.000, 0.500, 0.000], [0.000, 0.000, 0.000], [0.000, 0.000, 0.500], [0.500, 0.500, 0.500]], "magmom_total_mub_per_fu": 0.68, "dos_at_fermi_per_ev_cell": 3.47, "relative_energy_kcal_per_mol_atoms": 0.000, "final_energy_ev_per_fu": -27.5, "e_form_raw_ev_per_atom": 0.033}